Below is a crystal of YNi2Os relaxed with PBEsol, with properties calculated at the meta-GGA SCAN level.

Calculated values
raw total energy = -32.816 eV per atom
ΔE to the lowest computed polymorph = 0.415 eV/atom
space-group type = No. 119
M_tot = 2.230 μB/f.u.

abc: 3.8178 3.8178 4.8646
angles: 113.10 113.10 90.00
Last column: nearest neighbours and their distance in Å.
Positions (direct):
Os1 0.5000 0.5000 0.0000  8 Ni 2.70-2.78, 4 Y 2.78
Y1 0.2500 0.7500 0.5000  8 Ni 2.70-2.78, 4 Os 2.78
Ni1 0.0000 0.0000 0.0000  4 Os 2.70, 4 Ni 2.78, 4 Y 2.78
Ni2 0.7500 0.2500 0.5000  4 Y 2.70, 4 Os 2.78, 4 Ni 2.78

=====

Below is a crystal of Sc2Ni relaxed with PBEsol, with properties calculated at the meta-GGA SCAN level.

Calculated values
raw total energy = -15.214 eV per atom
space-group type = No. 36
M_tot = 0.000 μB/f.u.

abc: 3.2689 5.8630 6.0963
angles: 90.00 90.00 106.19
Last column: nearest neighbours and their distance in Å.
Positions (direct):
Sc1 0.5249 0.0499 0.2056  4 Ni 2.58-2.67
Sc2 0.4751 0.9501 0.7056  4 Ni 2.58-2.67
Sc3 0.2111 0.4221 0.5339  3 Ni 2.61-2.62
Sc4 0.7889 0.5779 0.0339  3 Ni 2.61-2.62
Ni1 0.1181 0.2362 0.9281  7 Sc 2.58-2.67
Ni2 0.8819 0.7638 0.4281  7 Sc 2.58-2.67

=====

Below is a crystal of CaPt2Cl relaxed with PBEsol, with properties calculated at the meta-GGA SCAN level.

Calculated values
raw total energy = -40.492 eV per atom
ΔE to the lowest computed polymorph = 0.000 eV/atom
space-group type = No. 6
M_tot = 0.000 μB/f.u.

abc: 3.5459 3.6253 6.7994
angles: 90.00 91.15 90.00
Last column: nearest neighbours and their distance in Å.
Positions (direct):
Pt1 0.2577 0.5000 0.8179  4 Pt 2.56
Pt2 0.7596 0.0000 0.8684  4 Pt 2.56
Ca1 0.2445 0.0000 0.4913  4 Cl 2.78, 3 Pt 2.87-3.12
Cl1 0.7381 0.5000 0.3225  4 Ca 2.78

=====

Below is a crystal of Mg2Sc relaxed with PBEsol, with properties calculated at the meta-GGA SCAN level.

Calculated values
raw total energy = -8.038 eV per atom
space-group type = No. 8
M_tot = 0.708 μB/f.u.

abc: 3.0627 6.1835 7.7293
angles: 102.82 90.00 104.34
Last column: nearest neighbours and their distance in Å.
Positions (direct):
Sc1 0.7268 0.4535 0.9469  4 Sc 3.06-3.21, 8 Mg 3.18-3.30
Sc2 0.0590 0.1180 0.6242  4 Sc 3.06-3.21, 8 Mg 3.11-3.26
Mg1 0.3940 0.7880 0.2878  8 Mg 3.06-3.23, 4 Sc 3.26-3.30
Mg2 0.6633 0.3266 0.3257  9 Mg 3.06-3.25, 3 Sc 3.19-3.25
Mg3 0.9972 0.9945 0.9937  8 Mg 3.06-3.31, 4 Sc 3.11-3.24
Mg4 0.3263 0.6526 0.6550  7 Mg 3.06-3.31, 5 Sc 3.16-3.24

=====

Below is a crystal of KInPb2 relaxed with PBEsol, with properties calculated at the meta-GGA SCAN level.

Calculated values
raw total energy = -48.465 eV per atom
space-group type = No. 10
M_tot = 0.000 μB/f.u.

abc: 3.4742 5.4044 7.0076
angles: 90.00 100.14 90.00
Last column: nearest neighbours and their distance in Å.
Positions (direct):
Pb1 0.6913 0.0000 0.8020  2 In 3.16, 4 Pb 3.19-3.47
Pb2 0.3087 0.0000 0.1980  2 In 3.16, 4 Pb 3.19-3.47
In1 0.5000 0.5000 0.0000  4 Pb 3.16, 2 In 3.47
K1 0.0000 0.5000 0.5000  2 K 3.47, 2 In 3.63, 4 Pb 3.71

=====

Below is a crystal of ZnSbOs2 relaxed with PBEsol, with properties calculated at the meta-GGA SCAN level.

Calculated values
raw total energy = -47.930 eV per atom
ΔE to the lowest computed polymorph = 0.340 eV/atom
space-group type = No. 12
M_tot = 0.000 μB/f.u.

abc: 2.9202 5.0639 5.1681
angles: 118.78 105.54 91.71
Last column: nearest neighbours and their distance in Å.
Positions (direct):
Sb1 0.0000 0.5000 0.0000  4 Os 2.61, 2 Zn 2.88
Zn1 0.5000 0.0000 0.0000  4 Os 2.61, 2 Sb 2.88
Os1 0.5000 0.5000 0.5000  2 Zn 2.61, 2 Sb 2.61, 2 Os 2.88
Os2 0.0000 0.0000 0.5000  2 Sb 2.61, 2 Zn 2.61, 2 Os 2.88